Entry 1:
Density functional theory data (PBE-GGA) for CdFeSn after structural relaxation.

Calculated values
N(E_F) = 0.71 states/eV per atom

Unit cell a=12.867 b=4.284 c=4.280 alpha=90.00 beta=90.00 gamma=90.00
Space group Amm2 (No. 38)
Inequivalent atoms, fractional coordinates:
Cd1 0.146 0.000 0.000 [4 per cell]
Fe1 0.000 0.000 0.500 [2 per cell]
Fe2 0.500 0.000 0.503 [2 per cell]
Sn1 0.372 0.000 0.003 [4 per cell]

---

Entry 2:
Density functional theory data (PBE-GGA) for RbNb2Hg after structural relaxation.

Calculated values
N(E_F) = 0.94 states/eV per atom

Unit cell a=4.534 b=4.534 c=22.362 alpha=90.00 beta=90.00 gamma=90.00
Space group I-42d (No. 122)
Inequivalent atoms, fractional coordinates:
Rb1 0.000 0.000 0.000 [4 per cell]
Nb1 0.109 0.250 0.625 [8 per cell]
Hg1 0.000 0.000 0.500 [4 per cell]

---

Number 1: DFT formation energy 226 meV/atom, DFT total energy -4.23 eV/atom. Number 2: DFT formation energy 1177 meV/atom, DFT total energy -4.18 eV/atom.